# Mg2SnB2Ir5

A relaxed structure of Mg2SnB2Ir5 (PBE, the Alexandria database).

Lattice parameters (Å, degrees): 2.983 9.709 9.709 90.00 90.00 90.00
Fractional coordinates of all 20 atoms:
Ir1 0.500 0.278 0.573
Ir2 0.500 0.500 0.000
Ir3 0.500 0.073 0.778
Ir4 0.500 0.427 0.278
Ir5 0.500 0.722 0.427
Ir6 0.500 0.573 0.722
Ir7 0.500 0.222 0.073
Ir8 0.500 0.778 0.927
Ir9 0.500 0.000 0.500
Ir10 0.500 0.927 0.222
Mg1 0.000 0.824 0.676
Mg2 0.000 0.324 0.824
Mg3 0.000 0.176 0.324
Mg4 0.000 0.676 0.176
B1 0.000 0.122 0.622
B2 0.000 0.622 0.878
B3 0.000 0.878 0.378
B4 0.000 0.378 0.122
Sn1 0.000 0.500 0.500
Sn2 0.000 0.000 0.000

Calculated values
* DOS(E_F): 2.17 states/eV per cell
* formation enthalpy at 0 K: -0.431 eV per atom
* space-group type: P4/mbm (127)